(1)
## NdCdInTe3 (PBE-GGA)

Data for a geometry-optimized NdCdInTe3 structure.

Energy relative to the lowest polymorph listed for this composition = 0.018 eV per atom
Symmetry = No. 11
Mass density = 5.82 g/cm³
VASP energy = -0.137 hartree per atom

Cell and atoms, written as POSCAR:
```
NdCdInTe3
1.0
-6.166 -6.075 1.391
-0.380 -0.641 -4.483
9.792 -5.505 -0.044
Te Nd In Cd
6 2 2 2
Direct
0.252 0.750 0.053
0.443 0.750 0.650
0.951 0.750 0.646
0.557 0.250 0.350
0.049 0.250 0.354
0.748 0.250 0.947
0.694 0.250 0.640
0.306 0.750 0.360
0.259 0.250 0.784
0.741 0.750 0.216
0.921 0.750 0.890
0.079 0.250 0.110
```

---

(2)
## CdInNiPt (PBE-GGA)

Data for a geometry-optimized CdInNiPt structure.

Symmetry = No. 216
Mass density = 11.93 g/cm³
VASP energy = -0.148 hartree per atom

Cell and atoms, written as POSCAR:
```
CdInNiPt
1.0
3.361 -0.800 2.973
4.346 0.236 -1.355
2.648 3.427 1.422
Pt Cd In Ni
1 1 1 1
Direct
0.250 0.250 0.250
0.500 0.500 0.500
0.000 0.000 0.000
0.750 0.750 0.750
```

---

(3)
## CdInTcNi (PBE-GGA)

Data for a geometry-optimized CdInTcNi structure.

Symmetry = No. 216
Mass density = 9.65 g/cm³
VASP energy = -0.168 hartree per atom

Cell and atoms, written as POSCAR:
```
CdInTcNi
1.0
0.000 3.208 3.208
3.208 0.000 3.208
3.208 3.208 0.000
Cd Ni Tc In
1 1 1 1
Direct
0.500 0.500 0.500
0.750 0.750 0.750
0.250 0.250 0.250
0.000 0.000 0.000
```

---

(4)
## TmCdIn4Ni2 (PBE-GGA)

Data for a geometry-optimized TmCdIn4Ni2 structure.

Symmetry = No. 38
Mass density = 8.76 g/cm³
VASP energy = -0.134 hartree per atom

Cell and atoms, written as POSCAR:
```
TmCdIn4Ni2
1.0
7.593 0.000 0.000
0.000 2.119 5.051
0.000 -2.119 5.051
In Cd Ni Tm
4 1 2 1
Direct
0.197 0.146 0.146
0.803 0.146 0.146
0.703 0.856 0.856
0.297 0.856 0.856
0.000 0.439 0.439
0.500 0.279 0.279
0.000 0.713 0.713
0.500 0.564 0.564
```

---

(5)
## NpCdIn (PBE-GGA)

Data for a geometry-optimized NpCdIn structure.

Symmetry = No. 216
Mass density = 9.28 g/cm³
VASP energy = -0.184 hartree per atom

Cell and atoms, written as POSCAR:
```
NpCdIn
1.0
0.000 3.463 3.463
3.463 0.000 3.463
3.463 3.463 0.000
In Np Cd
1 1 1
Direct
0.000 0.000 0.000
0.750 0.750 0.750
0.250 0.250 0.250
```

---

(6)
## Cd2In2O5 (PBE-GGA)

Data for a geometry-optimized Cd2In2O5 structure.

Energy relative to the lowest polymorph listed for this composition = 0.000 eV per atom
Symmetry = No. 123
Mass density = 6.78 g/cm³
VASP energy = -0.165 hartree per atom

Cell and atoms, written as POSCAR:
```
Cd2In2O5
1.0
8.013 0.000 0.000
0.000 4.041 0.000
0.000 0.000 4.041
Cd In O
2 2 5
Direct
0.000 0.000 0.000
0.500 0.000 0.000
0.238 0.500 0.500
0.762 0.500 0.500
0.180 0.500 0.000
0.820 0.500 0.000
0.180 0.000 0.500
0.500 0.500 0.500
0.820 0.000 0.500
```

---

(7)
## Cd2In2O5 (PBE-GGA)

Data for a geometry-optimized Cd2In2O5 structure.

Energy relative to the lowest polymorph listed for this composition = 0.237 eV per atom
Symmetry = No. 123
Mass density = 6.72 g/cm³
VASP energy = -0.157 hartree per atom

Cell and atoms, written as POSCAR:
```
Cd2In2O5
1.0
-2.810 -7.560 3.215
3.520 -0.651 1.546
-1.105 1.804 3.276
In O Cd
2 5 2
Direct
0.000 0.000 0.000
0.500 0.000 0.000
0.500 0.500 0.500
0.856 0.000 0.500
0.144 0.000 0.500
0.144 0.500 0.000
0.856 0.500 0.000
0.754 0.500 0.500
0.246 0.500 0.500
```

---

(8)
## CdIn2O2 (PBE-GGA)

Data for a geometry-optimized CdIn2O2 structure.

Symmetry = No. 60
Mass density = 6.43 g/cm³
VASP energy = -0.148 hartree per atom

Cell and atoms, written as POSCAR:
```
CdIn2O2
1.0
-8.609 5.290 0.199
-2.144 -3.656 4.412
2.431 3.793 4.325
In O Cd
8 8 4
Direct
0.651 0.467 0.519
0.349 0.467 0.981
0.151 0.033 0.481
0.151 0.967 0.981
0.849 0.033 0.019
0.849 0.967 0.519
0.349 0.533 0.481
0.651 0.533 0.019
0.854 0.393 0.009
0.146 0.607 0.991
0.354 0.893 0.491
0.646 0.107 0.509
0.854 0.607 0.509
0.354 0.107 0.991
0.146 0.393 0.491
0.646 0.893 0.009
0.500 0.026 0.250
0.500 0.974 0.750
0.000 0.474 0.750
0.000 0.526 0.250
```

---

(9)
## CdInPO (PBE-GGA)

Data for a geometry-optimized CdInPO structure.

Energy relative to the lowest polymorph listed for this composition = 0.070 eV per atom
Symmetry = No. 26
Mass density = 5.53 g/cm³
VASP energy = -0.149 hartree per atom

Cell and atoms, written as POSCAR:
```
CdInPO
1.0
-2.277 -1.870 2.635
4.894 -4.093 1.324
2.064 3.953 4.588
In P Cd O
2 2 2 2
Direct
0.500 0.180 0.469
0.500 0.820 0.969
0.500 0.808 0.363
0.500 0.192 0.863
0.000 0.357 0.034
0.000 0.643 0.534
0.000 0.319 0.387
0.000 0.681 0.887
```

---

(10)
## CdInPO (PBE-GGA)

Data for a geometry-optimized CdInPO structure.

Energy relative to the lowest polymorph listed for this composition = 0.301 eV per atom
Symmetry = No. 129
Mass density = 4.98 g/cm³
VASP energy = -0.140 hartree per atom

Cell and atoms, written as POSCAR:
```
CdInPO
1.0
4.438 0.000 0.000
0.000 4.438 0.000
0.000 0.000 9.281
P Cd In O
2 2 2 2
Direct
0.500 0.000 0.657
0.000 0.500 0.343
0.500 0.000 0.952
0.000 0.500 0.048
0.500 0.500 0.500
0.000 0.000 0.500
0.000 0.000 0.000
0.500 0.500 0.000
```

---

(11)
## CdInPO (PBE-GGA)

Data for a geometry-optimized CdInPO structure.

Energy relative to the lowest polymorph listed for this composition = 0.000 eV per atom
Symmetry = No. 26
Mass density = 5.45 g/cm³
VASP energy = -0.151 hartree per atom

Cell and atoms, written as POSCAR:
```
CdInPO
1.0
-0.019 -1.641 3.727
6.494 -1.066 -0.436
1.086 5.602 2.472
In O Cd P
2 2 2 2
Direct
0.500 0.644 0.528
0.500 0.356 0.028
0.500 0.350 0.374
0.500 0.650 0.874
0.000 0.189 0.471
0.000 0.811 0.971
0.000 0.811 0.381
0.000 0.189 0.881
```

---

(12)
## CdInPO (PBE-GGA)

Data for a geometry-optimized CdInPO structure.

Energy relative to the lowest polymorph listed for this composition = 0.266 eV per atom
Symmetry = No. 129
Mass density = 6.30 g/cm³
VASP energy = -0.142 hartree per atom

Cell and atoms, written as POSCAR:
```
CdInPO
1.0
4.036 0.000 0.000
0.000 4.036 0.000
0.000 0.000 8.873
In Cd O P
2 2 2 2
Direct
0.250 0.250 0.110
0.750 0.750 0.890
0.250 0.750 0.500
0.750 0.250 0.500
0.250 0.750 0.000
0.750 0.250 0.000
0.250 0.250 0.700
0.750 0.750 0.300
```

---

(13)
## TbCdInO3 (PBE-GGA)

Data for a geometry-optimized TbCdInO3 structure.

Symmetry = No. 40
Mass density = 6.34 g/cm³
VASP energy = -0.205 hartree per atom

Cell and atoms, written as POSCAR:
```
TbCdInO3
1.0
3.391 0.000 0.000
0.000 8.198 0.000
1.696 0.000 8.175
Tb Cd O In
2 2 6 2
Direct
0.836 0.500 0.000
0.836 0.000 0.000
0.442 0.250 0.752
0.194 0.750 0.248
0.419 0.567 0.835
0.254 0.433 0.165
0.419 0.933 0.835
0.078 0.750 0.519
0.597 0.250 0.481
0.254 0.067 0.165
0.166 0.250 0.342
0.508 0.750 0.658
```

---

(14)
## YCdInO3 (PBE-GGA)

Data for a geometry-optimized YCdInO3 structure.

Symmetry = No. 63
Mass density = 6.37 g/cm³
VASP energy = -0.209 hartree per atom

Cell and atoms, written as POSCAR:
```
YCdInO3
1.0
4.689 -2.405 0.000
4.689 2.405 0.000
0.000 0.000 8.413
Cd O Y In
2 6 2 2
Direct
0.333 0.333 0.250
0.667 0.667 0.750
0.215 0.215 0.916
0.785 0.785 0.416
0.785 0.785 0.084
0.215 0.215 0.584
0.098 0.098 0.250
0.902 0.902 0.750
0.000 0.000 0.500
0.000 0.000 0.000
0.375 0.375 0.750
0.625 0.625 0.250
```

---

(15)
## Cd2InOs (PBE-GGA)

Data for a geometry-optimized Cd2InOs structure.

Symmetry = No. 216
Mass density = 11.67 g/cm³
VASP energy = -0.126 hartree per atom

Cell and atoms, written as POSCAR:
```
Cd2InOs
1.0
4.108 -1.812 1.523
0.007 -3.494 3.205
1.275 -4.385 -1.276
In Cd Os
1 2 1
Direct
0.500 0.500 0.500
0.750 0.750 0.750
0.000 0.000 0.000
0.250 0.250 0.250
```

---

(16)
## CdIn2Os (PBE-GGA)

Data for a geometry-optimized CdIn2Os structure.

Symmetry = No. 216
Mass density = 11.20 g/cm³
VASP energy = -0.138 hartree per atom

Cell and atoms, written as POSCAR:
```
CdIn2Os
1.0
-0.448 2.935 3.790
-3.259 3.542 -0.071
-3.905 -0.266 2.802
Os Cd In
1 1 2
Direct
0.250 0.250 0.250
0.000 0.000 0.000
0.500 0.500 0.500
0.750 0.750 0.750
```

---

(17)
## Cd4InP3 (PBE-GGA)

Data for a geometry-optimized Cd4InP3 structure.

Symmetry = No. 166
Mass density = 5.67 g/cm³
VASP energy = -0.103 hartree per atom

Cell and atoms, written as POSCAR:
```
Cd4InP3
1.0
-1.298 -11.731 0.932
2.950 -11.465 -0.115
1.687 -10.994 4.055
P Cd In
3 4 1
Direct
0.000 0.000 0.000
0.775 0.775 0.775
0.225 0.225 0.225
0.699 0.699 0.699
0.301 0.301 0.301
0.908 0.908 0.908
0.092 0.092 0.092
0.500 0.500 0.500
```

---

(18)
## CdInPb (PBE-GGA)

Data for a geometry-optimized CdInPb structure.

Energy relative to the lowest polymorph listed for this composition = 0.000 eV per atom
Symmetry = No. 216
Mass density = 7.98 g/cm³
VASP energy = -0.087 hartree per atom

Cell and atoms, written as POSCAR:
```
CdInPb
1.0
0.000 3.562 3.562
3.562 0.000 3.562
3.562 3.562 0.000
In Cd Pb
1 1 1
Direct
0.250 0.250 0.250
0.000 0.000 0.000
0.750 0.750 0.750
```

---

(19)
## CdIn2Pb (PBE-GGA)

Data for a geometry-optimized CdIn2Pb structure.

Symmetry = No. 216
Mass density = 8.23 g/cm³
VASP energy = -0.091 hartree per atom

Cell and atoms, written as POSCAR:
```
CdIn2Pb
1.0
0.000 3.812 3.812
3.812 0.000 3.812
3.812 3.812 0.000
Pb In Cd
1 2 1
Direct
0.750 0.750 0.750
0.250 0.250 0.250
0.000 0.000 0.000
0.500 0.500 0.500
```

---

(20)
## Rb4Cd2InPb (PBE-GGA)

Data for a geometry-optimized Rb4Cd2InPb structure.

Symmetry = No. 115
Mass density = 4.99 g/cm³
VASP energy = -0.055 hartree per atom

Cell and atoms, written as POSCAR:
```
Rb4Cd2InPb
1.0
-1.749 5.265 2.055
-4.303 0.154 -4.057
-5.228 -3.844 5.400
Rb Cd Pb In
4 2 1 1
Direct
0.000 0.500 0.752
0.500 0.000 0.248
0.500 0.500 0.000
0.000 0.000 0.500
0.500 0.000 0.749
0.000 0.500 0.251
0.500 0.500 0.500
0.000 0.000 0.000
```